Compound: Tm4In3Pt
Source: Alexandria via LeMat-Bulk
Functional: PBE
Structure: relaxed

Total energy in eV/atom: -4.672
DOS at the Fermi energy in states/eV/cell: 4.5

abc: 3.549 3.549 15.496
angles: 90.00 90.00 90.00
Atoms (fractional coordinates):
Pt (0.500, 0.500, 0.000)
Tm (0.000, 0.000, 0.369)
Tm (0.000, 0.000, 0.895)
Tm (0.000, 0.000, 0.105)
Tm (0.000, 0.000, 0.631)
In (0.500, 0.500, 0.240)
In (0.500, 0.500, 0.760)
In (0.500, 0.500, 0.500)